First-principles (PBE) data for a geometry-optimized CdTcSCl2 structure, as listed in Alexandria via LeMat-Bulk.

a b c (Å): 5.0033 5.0033 5.2578
angles (deg): 90.00 90.00 90.00
With the nearest neighbours (Å) after each atom.
Fractional positions:
S1 0.0000 0.0000 0.5000  2 Cd 2.63
Cl1 0.0000 0.5000 0.0000  2 Cd 2.50
Cl2 0.5000 0.0000 0.0000  2 Cd 2.50
Tc1 0.5000 0.5000 0.5000  4 S 3.54, 8 Cl 3.63
Cd1 0.0000 0.0000 0.0000  4 Cl 2.50, 2 S 2.63

Values from the calculation:
Distance to the lowest polymorph of the same formula (meV/atom): 591.6
Raw formation energy (eV per atom): 0.48
N(E_F) (states/eV/f.u.): 0.48
Total moment (μB/f.u.): 5.04
Uncorrected energy (eV/atom): -3.34
Volume (Å³/cell): 131.6